P | First-principles (PBE) data for a geometry-optimized Ce2ErIr structure, as listed in the Alexandria database.

Properties
Size of the total moment ... 1.04 μB/f.u.

Unit cell a=3.7529 b=11.1190 c=9.9161 alpha=90.00 beta=90.00 gamma=90.00
With the nearest neighbours (Å) after each atom.
Space group Cmcm (No. 63)
One atom of each set of equivalent atoms:
Ce: 0.0000 0.1369 0.0570 [8 per cell]  2 Ir 2.79
Er: 0.0000 0.4180 0.2500 [4 per cell]  3 Ir 3.00-3.22
Ir: 0.0000 0.2922 0.7500 [4 per cell]  4 Ce 2.79, 2 Er 3.00

Q | First-principles (PBE) data for a geometry-optimized Ce2ErIr structure, as listed in the Alexandria database.

Properties
Size of the total moment ... 1.57 μB/f.u.

Unit cell a=3.7154 b=3.7154 c=30.1915 alpha=90.00 beta=90.00 gamma=120.00
With the nearest neighbours (Å) after each atom.
Space group R-3m (No. 166, hexagonal axes)
One atom of each set of equivalent atoms:
Ce: 0.0000 0.0000 0.1079 [6 per cell]  3 Ir 2.78
Er: 0.0000 0.0000 0.0000 [3 per cell]  2 Ce 3.26
Ir: 0.0000 0.0000 0.5000 [3 per cell]  6 Ce 2.78

R | First-principles (PBE) data for a geometry-optimized Ce2ErIr structure, as listed in the Alexandria database.

Properties
Size of the total moment ... 0.01 μB/f.u.

Unit cell a=3.7271 b=3.7271 c=7.3292 alpha=90.00 beta=90.00 gamma=90.00
With the nearest neighbours (Å) after each atom.
Space group P4/mmm (No. 123)
One atom of each set of equivalent atoms:
Ce: 0.0000 0.0000 0.1946 [2 per cell]  1 Ce 2.85, 4 Ir 3.00
Er: 0.5000 0.5000 0.5000 [1 per cell]  8 Ce 3.46, 2 Ir 3.66, 4 Er 3.73
Ir: 0.5000 0.5000 0.0000 [1 per cell]  8 Ce 3.00

S | First-principles (PBE) data for a geometry-optimized Ce2ErIr structure, as listed in the Alexandria database.

Properties
Size of the total moment ... 0.03 μB/f.u.

Unit cell a=3.8906 b=3.8906 c=26.6573 alpha=90.00 beta=90.00 gamma=120.00
With the nearest neighbours (Å) after each atom.
Space group R3m (No. 160, hexagonal axes)
One atom of each set of equivalent atoms:
Ce: 0.0000 0.0000 0.0000 [3 per cell]  3 Ir 2.80
Ce: 0.0000 0.0000 0.2085 [3 per cell]  3 Ir 2.80
Er: 0.0000 0.0000 0.4376 [3 per cell]  6 Ce 3.57, 6 Er 3.89
Ir: 0.0000 0.0000 0.6042 [3 per cell]  6 Ce 2.80

Most stable: P

P | First-principles (PBE) data for a geometry-optimized CeErIrRu structure, as listed in the Alexandria database.

Properties
Size of the total moment ... 0.13 μB/f.u.

Unit cell a=6.8686 b=6.8686 c=6.8686 alpha=90.00 beta=90.00 gamma=90.00
With the nearest neighbours (Å) after each atom.
Space group F-43m (No. 216)
One atom of each set of equivalent atoms:
Ce: 0.0000 0.0000 0.0000 [4 per cell]  4 Ir 2.97, 4 Ru 2.97
Er: 0.0000 0.0000 0.5000 [4 per cell]  4 Ru 2.97, 4 Ir 2.97
Ir: 0.2500 0.2500 0.7500 [4 per cell]  4 Ce 2.97, 4 Er 2.97
Ru: 0.2500 0.2500 0.2500 [4 per cell]  4 Ce 2.97, 4 Er 2.97

Q | First-principles (PBE) data for a geometry-optimized CeErIrRu structure, as listed in the Alexandria database.

Properties
Size of the total moment ... 0.00 μB/f.u.

Unit cell a=3.4792 b=3.4792 c=6.6904 alpha=90.00 beta=90.00 gamma=90.00
With the nearest neighbours (Å) after each atom.
Space group P4mm (No. 99)
One atom of each set of equivalent atoms:
Ce: 0.0000 0.0000 0.0000 [1 per cell]  4 Ru 2.94, 4 Ir 2.95
Er: 0.0000 0.0000 0.5015 [1 per cell]  4 Ir 2.99, 4 Ru 3.02, 1 Ce 3.33
Ir: 0.5000 0.5000 0.7560 [1 per cell]  4 Ce 2.95, 4 Er 2.99, 1 Ru 3.24
Ru: 0.5000 0.5000 0.2397 [1 per cell]  4 Ce 2.94, 4 Er 3.02, 1 Ir 3.24

Most stable: Q

P | First-principles (PBE) data for a geometry-optimized CeErTlIr structure, as listed in the Alexandria database.

Properties
Size of the total moment ... 0.51 μB/f.u.

Unit cell a=7.2694 b=7.2694 c=7.2694 alpha=90.00 beta=90.00 gamma=90.00
With the nearest neighbours (Å) after each atom.
Space group F-43m (No. 216)
One atom of each set of equivalent atoms:
Ce: 0.0000 0.0000 0.0000 [4 per cell]  4 Tl 3.15, 4 Ir 3.15
Er: 0.0000 0.0000 0.5000 [4 per cell]  4 Tl 3.15, 4 Ir 3.15
Tl: 0.2500 0.2500 0.7500 [4 per cell]  4 Ce 3.15, 4 Er 3.15
Ir: 0.2500 0.2500 0.2500 [4 per cell]  4 Ce 3.15, 4 Er 3.15

Q | First-principles (PBE) data for a geometry-optimized CeErTlIr structure, as listed in the Alexandria database.

Properties
Size of the total moment ... 0.73 μB/f.u.

Unit cell a=3.4478 b=3.4478 c=8.1816 alpha=90.00 beta=90.00 gamma=90.00
With the nearest neighbours (Å) after each atom.
Space group P4mm (No. 99)
One atom of each set of equivalent atoms:
Ce: 0.0000 0.0000 0.0000 [1 per cell]  4 Ir 3.01
Er: 0.0000 0.0000 0.5858 [1 per cell]  4 Ir 2.93
Tl: 0.5000 0.5000 0.3008 [1 per cell]  4 Er 3.37, 4 Tl 3.45, 4 Ce 3.46
Ir: 0.5000 0.5000 0.7840 [1 per cell]  4 Er 2.93, 4 Ce 3.01

Most stable: Q

P | First-principles (PBE) data for a geometry-optimized La2CeEr structure, as listed in the Alexandria database.

Properties
Size of the total moment ... 0.74 μB/f.u.

Unit cell a=3.6093 b=3.6093 c=35.3329 alpha=90.00 beta=90.00 gamma=120.00
With the nearest neighbours (Å) after each atom.
Space group R3m (No. 160, hexagonal axes)
One atom of each set of equivalent atoms:
La: 0.0000 0.0000 0.0000 [3 per cell]  3 Ce 3.59, 6 La 3.61, 3 Er 3.66
La: 0.0000 0.0000 0.1651 [3 per cell]  3 Ce 3.58, 3 Er 3.60, 6 La 3.61
Ce: 0.0000 0.0000 0.7494 [3 per cell]  6 La 3.58-3.59, 6 Ce 3.61
Er: 0.0000 0.0000 0.5815 [3 per cell]  6 La 3.60-3.66, 6 Er 3.61

Q | First-principles (PBE) data for a geometry-optimized La2CeEr structure, as listed in the Alexandria database.

Properties
Size of the total moment ... 0.01 μB/f.u.

Unit cell a=3.5774 b=3.5774 c=10.1912 alpha=90.00 beta=90.00 gamma=90.00
With the nearest neighbours (Å) after each atom.
Space group P4/mmm (No. 123)
One atom of each set of equivalent atoms:
La: 0.0000 0.0000 0.2393 [2 per cell]  4 Ce 3.51, 4 La 3.58, 4 Er 3.67
Ce: 0.5000 0.5000 0.0000 [1 per cell]  8 La 3.51, 4 Ce 3.58
Er: 0.5000 0.5000 0.5000 [1 per cell]  4 Er 3.58, 8 La 3.67

R | First-principles (PBE) data for a geometry-optimized La2CeEr structure, as listed in the Alexandria database.

Properties
Size of the total moment ... 3.10 μB/f.u.

Unit cell a=8.2012 b=8.2012 c=8.2012 alpha=90.00 beta=90.00 gamma=90.00
With the nearest neighbours (Å) after each atom.
Space group Fm-3m (No. 225)
One atom of each set of equivalent atoms:
La: 0.2500 0.2500 0.2500 [8 per cell]  4 Ce 3.55, 4 Er 3.55
Ce: 0.0000 0.0000 0.0000 [4 per cell]  8 La 3.55
Er: 0.0000 0.0000 0.5000 [4 per cell]  8 La 3.55

S | First-principles (PBE) data for a geometry-optimized La2CeEr structure, as listed in the Alexandria database.

Properties
Size of the total moment ... 0.67 μB/f.u.

Unit cell a=3.4759 b=3.4759 c=37.6195 alpha=90.00 beta=90.00 gamma=120.00
With the nearest neighbours (Å) after each atom.
Space group R-3m (No. 166, hexagonal axes)
One atom of each set of equivalent atoms:
La: 0.0000 0.0000 0.0859 [6 per cell]  1 Ce 3.23, 6 La 3.48
Ce: 0.0000 0.0000 0.0000 [3 per cell]  2 La 3.23, 6 Ce 3.48
Er: 0.0000 0.0000 0.5000 [3 per cell]  6 Er 3.48, 6 La 3.64

Most stable: Q

P | First-principles (PBE) data for a geometry-optimized LaCeErTh structure, as listed in the Alexandria database.

Properties
Size of the total moment ... 1.20 μB/f.u.

Unit cell a=8.0316 b=8.0316 c=8.0316 alpha=90.00 beta=90.00 gamma=90.00
With the nearest neighbours (Å) after each atom.
Space group F-43m (No. 216)
One atom of each set of equivalent atoms:
La: 0.0000 0.0000 0.0000 [4 per cell]  4 Er 3.48, 4 Ce 3.48
Ce: 0.2500 0.2500 0.2500 [4 per cell]  4 La 3.48, 4 Th 3.48
Er: 0.2500 0.2500 0.7500 [4 per cell]  4 La 3.48, 4 Th 3.48
Th: 0.0000 0.0000 0.5000 [4 per cell]  4 Ce 3.48, 4 Er 3.48

Q | First-principles (PBE) data for a geometry-optimized LaCeErTh structure, as listed in the Alexandria database.

Properties
Size of the total moment ... 0.00 μB/f.u.

Unit cell a=3.5486 b=3.5486 c=10.0358 alpha=90.00 beta=90.00 gamma=90.00
With the nearest neighbours (Å) after each atom.
Space group P4mm (No. 99)
One atom of each set of equivalent atoms:
La: 0.0000 0.0000 0.0000 [1 per cell]  4 La 3.55, 4 Ce 3.57, 4 Er 3.71
Ce: 0.5000 0.5000 0.7475 [1 per cell]  4 Th 3.44, 4 Ce 3.55, 4 La 3.57
Er: 0.5000 0.5000 0.2719 [1 per cell]  4 Th 3.49, 4 Er 3.55, 4 La 3.71
Th: 0.0000 0.0000 0.5134 [1 per cell]  4 Ce 3.44, 4 Er 3.49, 4 Th 3.55

Most stable: Q

P | First-principles (PBE) data for a geometry-optimized LiCeEr2 structure, as listed in the Alexandria database.

Properties
Size of the total moment ... 0.25 μB/f.u.

Unit cell a=5.5341 b=5.5341 c=3.5827 alpha=90.00 beta=90.00 gamma=90.00
With the nearest neighbours (Å) after each atom.
Space group P4/mmm (No. 123)
One atom of each set of equivalent atoms:
Li: 0.0000 0.0000 0.0000 [1 per cell]  8 Er 3.30, 2 Li 3.58
Ce: 0.5000 0.5000 0.0000 [1 per cell]  8 Er 3.30, 2 Ce 3.58
Er: 0.0000 0.5000 0.5000 [2 per cell]  4 Ce 3.30, 4 Li 3.30, 2 Er 3.58

Q | First-principles (PBE) data for a geometry-optimized LiCeEr2 structure, as listed in the Alexandria database.

Properties
Size of the total moment ... 0.29 μB/f.u.

Unit cell a=3.3973 b=3.3973 c=35.4666 alpha=90.00 beta=90.00 gamma=120.00
With the nearest neighbours (Å) after each atom.
Space group R-3m (No. 166, hexagonal axes)
One atom of each set of equivalent atoms:
Li: 0.0000 0.0000 0.0000 [3 per cell]  2 Er 3.16, 6 Li 3.40
Ce: 0.0000 0.0000 0.5000 [3 per cell]  6 Er 3.38, 6 Ce 3.40
Er: 0.0000 0.0000 0.0891 [6 per cell]  1 Li 3.16, 3 Ce 3.38, 6 Er 3.40

R | First-principles (PBE) data for a geometry-optimized LiCeEr2 structure, as listed in the Alexandria database.

Properties
Size of the total moment ... 0.25 μB/f.u.

Unit cell a=3.5652 b=3.5652 c=8.5360 alpha=90.00 beta=90.00 gamma=90.00
With the nearest neighbours (Å) after each atom.
Space group P4/mmm (No. 123)
One atom of each set of equivalent atoms:
Li: 0.0000 0.0000 0.0000 [1 per cell]  8 Er 3.19, 4 Li 3.57
Ce: 0.0000 0.0000 0.5000 [1 per cell]  8 Er 3.42, 4 Ce 3.57
Er: 0.5000 0.5000 0.2292 [2 per cell]  4 Li 3.19, 4 Ce 3.42, 4 Er 3.57

S | First-principles (PBE) data for a geometry-optimized LiCeEr2 structure, as listed in the Alexandria database.

Properties
Size of the total moment ... 0.60 μB/f.u.

Unit cell a=3.4003 b=3.4003 c=33.6726 alpha=90.00 beta=90.00 gamma=120.00
With the nearest neighbours (Å) after each atom.
Space group R3m (No. 160, hexagonal axes)
One atom of each set of equivalent atoms:
Li: 0.0000 0.0000 0.0000 [3 per cell]  6 Er 3.36-3.37, 6 Li 3.40
Ce: 0.0000 0.0000 0.8337 [3 per cell]  6 Ce 3.40, 6 Er 3.48-3.49
Er: 0.0000 0.0000 0.4148 [3 per cell]  3 Li 3.37, 6 Er 3.40, 3 Ce 3.49
Er: 0.0000 0.0000 0.5857 [3 per cell]  3 Li 3.36, 6 Er 3.40, 3 Ce 3.48

Most stable: R